Entry 1:
Entry from the Alexandria database: a relaxed Co2BrCl crystal (GGA-PBE).

```
4
Lattice="3.2498 0.0000 0.0000 0.0000 3.6824 0.0000 0.0000 0.0000 6.2492" Properties=species:S:1:pos:R:3 pbc="T T T"
Co 0.0000 0.0000 0.0000
Co 1.6249 0.0000 3.1246
Br 0.0000 1.8412 3.1246
Cl 1.6249 1.8412 0.0000
```

- calculated density (g/cm3) = 5.2
- M_tot (Bohr magnetons per cell) = 3.863
- ΔE_f (raw) (eV per atom) = 0.49
- D(E_F) (states/eV/f.u.) = 6.08
- uncorrected energy (eV/f.u.) = -15.8
- calculated volume (A^3/atom) = 18.70

=====

Entry 2:
Entry from the Alexandria database: a relaxed CaPt2Au10 crystal (GGA-PBE).

```
13
Lattice="0.0000 6.6138 6.6312 2.8626 0.0000 6.6312 2.8626 6.6138 0.0000" Properties=species:S:1:pos:R:3 pbc="T T T"
Ca 0.0000 0.0000 0.0000
Pt 1.4313 0.0000 3.3156
Pt 1.4313 6.6138 3.3156
Au 1.4313 3.3069 0.0000
Au 2.8626 4.3977 2.2839
Au 2.8626 5.1878 5.1816
Au 2.8626 8.8299 2.2839
Au 2.8626 8.0398 5.1816
Au 1.4313 3.3069 6.6312
Au 2.8626 5.1878 8.0807
Au 2.8626 4.3977 10.9784
Au 2.8626 8.0398 8.0807
Au 2.8626 8.8299 10.9784
```

- formation enthalpy at 0 K (meV/atom) = -182
- calculated density (g/cm3) = 15.9
- M_tot (Bohr magnetons per cell) = 0.000
- D(E_F) (states/eV/f.u.) = 3.34
- uncorrected energy (eV/f.u.) = -49.2
- calculated volume (A^3/atom) = 19.31

=====

Entry 3:
Entry from the Alexandria database: a relaxed PaVN3 crystal (GGA-PBE).

```
10
Lattice="5.2645 0.0000 0.0000 0.0000 3.6136 0.0000 -2.0929 0.0000 7.6714" Properties=species:S:1:pos:R:3 pbc="T T T"
Pa -0.3630 0.9034 2.4498
Pa 3.5346 2.7102 5.2215
V 0.6339 0.9034 6.6175
V 2.5377 2.7102 1.0539
N -0.4969 0.9034 4.7313
N 0.9505 2.7102 1.8480
N -0.1324 2.7102 6.8418
N 3.3040 0.9034 0.8296
N 2.2211 0.9034 5.8234
N 3.6685 2.7102 2.9401
```

- calculated density (g/cm3) = 7.4
- M_tot (Bohr magnetons per cell) = 0.000
- ΔE_f (raw) (eV per atom) = -1.27
- D(E_F) (states/eV/f.u.) = 1.75
- uncorrected energy (eV/f.u.) = -50.0
- calculated volume (A^3/atom) = 14.59

=====

Entry 4:
Entry from the Alexandria database: a relaxed BaInSi2S6 crystal (GGA-PBE).

```
20
Lattice="6.4936 -7.0292 0.0000 6.4936 7.0292 0.0000 -1.1527 0.0000 6.0119" Properties=species:S:1:pos:R:3 pbc="T T T"
Ba 5.6291 5.3177 4.5089
Ba 6.2054 -5.3177 1.5030
In 6.2054 1.3705 1.5030
In 5.6291 -1.3705 4.5089
Si 2.7383 1.0678 4.8171
Si 3.3146 -1.0678 1.8111
Si 8.5199 1.0678 4.2008
Si 9.0962 -1.0678 1.1949
S 0.6933 1.2279 4.5467
S 3.7606 2.7101 5.6443
S 1.2696 -1.2279 1.5407
S 3.8208 0.7779 2.8879
S 3.2445 -0.7779 5.8938
S 7.4975 2.7101 3.3736
S 4.3370 -2.7101 2.6383
S 8.5900 0.7779 0.1181
S 8.0137 -0.7779 3.1241
S 10.5649 1.2279 4.4712
S 8.0739 -2.7101 0.3676
S 11.1412 -1.2279 1.4653
```

- calculated density (g/cm3) = 3.0
- M_tot (Bohr magnetons per cell) = 0.000
- ΔE_f (raw) (eV per atom) = -0.84
- D(E_F) (states/eV/f.u.) = 2.91
- uncorrected energy (eV/f.u.) = -48.6
- calculated volume (A^3/atom) = 27.44